A plane-wave DFT calculation with meta-GGA SCAN was carried out for Rh3PbF at its PBEsol-relaxed geometry.

The structure in POSCAR format:
```
Rh3PbF
1.0
4.2972 0.0000 0.0000
0.0000 4.2972 0.0000
0.0000 0.0000 4.2972
Pb Rh F
1 3 1
Direct
0.5000 0.5000 0.5000
0.0000 0.5000 0.0000
0.0000 0.0000 0.5000
0.5000 0.0000 0.0000
0.0000 0.0000 0.0000
```

Calculated values
Space-group type   Pm-3m (221)
E_tot   -35.6647 eV/atom


A plane-wave DFT calculation with meta-GGA SCAN was carried out for Ru3PbF at its PBEsol-relaxed geometry.

The structure in POSCAR format:
```
Ru3PbF
1.0
4.2216 0.0000 0.0000
0.0000 4.2216 0.0000
0.0000 0.0000 4.2216
Pb Ru F
1 3 1
Direct
0.5000 0.5000 0.5000
0.0000 0.5000 0.0000
0.0000 0.0000 0.5000
0.5000 0.0000 0.0000
0.0000 0.0000 0.0000
```

Calculated values
Space-group type   Pm-3m (221)
E_tot   -35.7042 eV/atom


A plane-wave DFT calculation with meta-GGA SCAN was carried out for RuPbF2 at its PBEsol-relaxed geometry.

The structure in POSCAR format:
```
RuPbF2
1.0
-3.9979 -1.7145 0.1645
-1.8075 -1.6568 -3.5970
-0.5404 -4.3027 -0.3808
Pb Ru F
1 1 2
Direct
0.5000 0.5000 0.5000
0.0000 0.0000 0.0000
0.2500 0.2500 0.2500
0.7500 0.7500 0.7500
```

Calculated values
Space-group type   Fm-3m (225)
E_tot   -30.0103 eV/atom


A plane-wave DFT calculation with meta-GGA SCAN was carried out for TePbS2F at its PBEsol-relaxed geometry.

The structure in POSCAR format:
```
TePbS2F
1.0
4.7814 0.0000 0.0000
0.0000 4.6939 0.0000
0.0000 0.0000 4.6939
Pb S Te F
1 2 1 1
Direct
0.5000 0.0000 0.0000
0.0000 0.0000 0.5000
0.0000 0.5000 0.0000
0.5000 0.5000 0.5000
0.0000 0.0000 0.0000
```

Calculated values
Space-group type   P4/mmm (123)
E_tot   -26.8670 eV/atom


A plane-wave DFT calculation with meta-GGA SCAN was carried out for SbPbF2 at its PBEsol-relaxed geometry.

The structure in POSCAR format:
```
SbPbF2
1.0
3.2199 0.0000 0.0000
1.6100 2.7885 0.0000
1.6100 0.9295 8.5888
Pb Sb F
1 1 2
Direct
0.0000 0.0000 0.0000
0.5000 0.5000 0.5000
0.9072 0.9072 0.2784
0.0928 0.0928 0.7216
```

Calculated values
Space-group type   R-3m (166)
E_tot   -31.2666 eV/atom


A plane-wave DFT calculation with meta-GGA SCAN was carried out for SbTe2PbF at its PBEsol-relaxed geometry.

The structure in POSCAR format:
```
SbTe2PbF
1.0
5.7106 0.0000 0.0000
0.0000 5.7106 0.0000
0.0000 0.0000 5.7721
Pb Sb Te F
1 1 2 1
Direct
0.0000 0.0000 0.0000
0.0000 0.0000 0.5000
0.0000 0.5000 0.0000
0.5000 0.0000 0.0000
0.5000 0.5000 0.5000
```

Calculated values
Space-group type   P4/mmm (123)
E_tot   -37.5503 eV/atom


A plane-wave DFT calculation with meta-GGA SCAN was carried out for ScPbF3 at its PBEsol-relaxed geometry.

The structure in POSCAR format:
```
ScPbF3
1.0
4.2614 0.0000 0.0000
0.0000 4.2614 0.0000
0.0000 0.0000 4.2614
Pb Sc F
1 1 3
Direct
0.5000 0.5000 0.5000
0.0000 0.0000 0.0000
0.0000 0.5000 0.0000
0.0000 0.0000 0.5000
0.5000 0.0000 0.0000
```

Calculated values
Space-group type   Pm-3m (221)
E_tot   -22.7876 eV/atom


A plane-wave DFT calculation with meta-GGA SCAN was carried out for SiPb2F at its PBEsol-relaxed geometry.

The structure in POSCAR format:
```
SiPb2F
1.0
-4.5033 -0.5419 1.7385
-0.7672 -2.7194 3.9513
-1.2548 2.1076 4.1928
Pb Si F
2 1 1
Direct
0.2500 0.2500 0.2500
0.7500 0.7500 0.7500
0.5000 0.5000 0.5000
0.0000 0.0000 0.0000
```

Calculated values
Space-group type   Fm-3m (225)
E_tot   -41.7358 eV/atom